#w
## NbMoI2 (PBE)

Data for a relaxed structure of NbMoI2.

* D(E_F): 13.68 states/eV per cell

a = 6.840 Å, b = 6.840 Å, c = 6.840 Å
α = 90.00°, β = 90.00°, γ = 90.00°
Space group Fm-3m (No. 225)
One atom of each set of equivalent atoms:
Nb 0.000 0.000 0.000
Mo 0.000 0.000 0.500
I 0.250 0.250 0.250


#x
## NbMoI2 (PBE)

Data for a relaxed structure of NbMoI2.

* D(E_F): 8.81 states/eV per cell

a = 4.717 Å, b = 4.717 Å, c = 17.482 Å
α = 90.00°, β = 90.00°, γ = 90.00°
Space group I-42d (No. 122)
One atom of each set of equivalent atoms:
Nb 0.000 0.000 0.000
Mo 0.000 0.000 0.500
I 0.245 0.250 0.625


Least stable structure: #x